Density functional theory data (GGA-PBE) for an optimized crystal structure of BiTeAu3.

extended XYZ file:
```
5
Lattice="5.392 0.000 0.000 0.000 5.392 0.000 0.000 0.000 5.392" Properties=species:S:1:pos:R:3 pbc="T T T"
Bi 0.000 0.000 0.000
Te 2.696 2.696 2.696
Au 0.000 0.000 2.696
Au 0.000 2.696 0.000
Au 2.696 0.000 0.000
```

- formation energy from raw total energies (kcal/mol of atoms) = 16.60
- calculated density (g/cm³) = 9.82
- distance to the lowest polymorph of the same formula (kJ/mol of formula units) = 69
- density of states at the Fermi level (states/eV per atom) = 0.673
- magnetic moment (μB per formula unit) = 1.74

---

Density functional theory data (GGA-PBE) for an optimized crystal structure of BiTeAu4.

extended XYZ file:
```
6
Lattice="0.000 4.034 4.034 4.034 0.000 4.034 4.034 4.034 0.000" Properties=species:S:1:pos:R:3 pbc="T T T"
Bi 0.000 0.000 0.000
Te 6.051 6.051 6.051
Au 3.024 3.024 3.024
Au 5.044 5.044 3.024
Au 5.044 3.024 5.044
Au 3.024 5.044 5.044
```

- formation energy from raw total energies (kcal/mol of atoms) = 1.36
- calculated density (g/cm³) = 14.22
- density of states at the Fermi level (states/eV per atom) = 0.477
- magnetic moment (μB per formula unit) = 0.00

---

Density functional theory data (GGA-PBE) for an optimized crystal structure of BiTeAu2.

extended XYZ file:
```
12
Lattice="4.191 0.000 0.000 -2.095 3.629 0.000 0.000 0.000 20.072" Properties=species:S:1:pos:R:3 pbc="T T T"
Bi 0.000 0.000 0.000
Bi 0.000 2.420 13.381
Bi 2.095 1.210 6.691
Te 0.000 0.000 10.036
Te 0.000 2.420 3.345
Te 2.095 1.210 16.726
Au 0.000 0.000 4.964
Au 0.000 0.000 15.108
Au 0.000 2.420 8.417
Au 0.000 2.420 18.345
Au 2.095 1.210 1.727
Au 2.095 1.210 11.654
```

- formation energy from raw total energies (kcal/mol of atoms) = -0.76
- calculated density (g/cm³) = 11.92
- distance to the lowest polymorph of the same formula (kJ/mol of formula units) = 0
- density of states at the Fermi level (states/eV per atom) = 0.476
- magnetic moment (μB per formula unit) = 0.00

---

Density functional theory data (GGA-PBE) for an optimized crystal structure of BiTeAu2.

extended XYZ file:
```
16
Lattice="7.249 0.000 0.000 0.000 7.249 0.000 0.000 0.000 7.249" Properties=species:S:1:pos:R:3 pbc="T T T"
Bi 0.000 0.000 0.000
Bi 0.000 3.625 3.625
Bi 3.625 0.000 3.625
Bi 3.625 3.625 0.000
Te 0.000 0.000 3.625
Te 0.000 3.625 0.000
Te 3.625 0.000 0.000
Te 3.625 3.625 3.625
Au 1.812 1.812 1.812
Au 1.812 1.812 5.437
Au 1.812 5.437 1.812
Au 1.812 5.437 5.437
Au 5.437 1.812 1.812
Au 5.437 1.812 5.437
Au 5.437 5.437 1.812
Au 5.437 5.437 5.437
```

- formation energy from raw total energies (kcal/mol of atoms) = 4.83
- calculated density (g/cm³) = 12.74
- distance to the lowest polymorph of the same formula (kJ/mol of formula units) = 94
- density of states at the Fermi level (states/eV per atom) = 1.020
- magnetic moment (μB per formula unit) = 0.00

---

Density functional theory data (GGA-PBE) for an optimized crystal structure of BiTeAu2.

extended XYZ file:
```
16
Lattice="6.970 0.000 0.000 0.000 6.970 0.000 0.000 0.000 10.192" Properties=species:S:1:pos:R:3 pbc="T T T"
Bi 0.000 0.000 0.000
Bi 0.000 3.485 2.548
Bi 3.485 0.000 7.644
Bi 3.485 3.485 5.096
Te 0.000 0.000 5.096
Te 0.000 3.485 7.644
Te 3.485 0.000 2.548
Te 3.485 3.485 0.000
Au 1.668 1.743 6.370
Au 1.743 5.153 8.918
Au 1.743 5.302 3.822
Au 1.817 1.743 1.274
Au 5.153 5.228 1.274
Au 5.228 1.668 3.822
Au 5.228 1.817 8.918
Au 5.302 5.228 6.370
```

- formation energy from raw total energies (kcal/mol of atoms) = 2.10
- calculated density (g/cm³) = 9.80
- distance to the lowest polymorph of the same formula (kJ/mol of formula units) = 48
- density of states at the Fermi level (states/eV per atom) = 0.546
- magnetic moment (μB per formula unit) = 0.00

---

Density functional theory data (GGA-PBE) for an optimized crystal structure of Bi2TeAu2.

extended XYZ file:
```
10
Lattice="7.910 0.000 0.000 0.000 7.910 0.000 0.000 0.000 4.108" Properties=species:S:1:pos:R:3 pbc="T T T"
Bi 1.302 2.653 0.000
Bi 2.653 6.608 0.000
Bi 5.257 1.302 0.000
Bi 6.608 5.257 0.000
Te 0.000 0.000 2.054
Te 3.955 3.955 2.054
Au 1.033 4.988 2.054
Au 2.922 1.033 2.054
Au 4.988 6.877 2.054
Au 6.877 2.922 2.054
```

- formation energy from raw total energies (kcal/mol of atoms) = 1.26
- calculated density (g/cm³) = 12.14
- distance to the lowest polymorph of the same formula (kJ/mol of formula units) = 20
- density of states at the Fermi level (states/eV per atom) = 0.553
- magnetic moment (μB per formula unit) = 0.00

---

Density functional theory data (GGA-PBE) for an optimized crystal structure of BiTeAu.

extended XYZ file:
```
3
Lattice="4.920 0.000 0.000 -2.096 4.459 0.000 -1.130 -1.833 4.687" Properties=species:S:1:pos:R:3 pbc="T T T"
Bi 0.000 0.000 0.000
Te -1.208 2.625 2.340
Au 2.411 1.597 0.002
```

- formation energy from raw total energies (kcal/mol of atoms) = 1.89
- calculated density (g/cm³) = 8.62
- density of states at the Fermi level (states/eV per atom) = 0.398
- magnetic moment (μB per formula unit) = 0.00

---

Density functional theory data (GGA-PBE) for an optimized crystal structure of BiTeAu.

extended XYZ file:
```
12
Lattice="5.605 0.000 0.000 0.000 12.330 0.000 0.000 0.000 5.722" Properties=species:S:1:pos:R:3 pbc="T T T"
Bi 0.000 1.632 1.430
Bi 0.000 10.698 4.291
Bi 2.803 4.533 4.291
Bi 2.803 7.797 1.430
Te 0.000 4.576 1.430
Te 0.000 7.754 4.291
Te 2.803 1.589 4.291
Te 2.803 10.742 1.430
Au 0.000 1.545 4.291
Au 0.000 10.785 1.430
Au 2.803 4.620 1.430
Au 2.803 7.711 4.291
```

- formation energy from raw total energies (kcal/mol of atoms) = 3.55
- calculated density (g/cm³) = 8.96
- density of states at the Fermi level (states/eV per atom) = 0.605
- magnetic moment (μB per formula unit) = 0.00

---

Density functional theory data (GGA-PBE) for an optimized crystal structure of Bi2TeAu.

extended XYZ file:
```
16
Lattice="6.620 0.000 0.000 0.000 6.620 0.000 0.000 0.000 14.257" Properties=species:S:1:pos:R:3 pbc="T T T"
Bi 1.381 1.655 1.782
Bi 1.655 4.691 5.347
Bi 1.655 5.238 12.475
Bi 1.929 1.655 8.911
Bi 4.691 4.965 8.911
Bi 4.965 1.381 12.475
Bi 4.965 1.929 5.347
Bi 5.238 4.965 1.782
Te 0.000 0.000 7.129
Te 0.000 3.310 10.693
Te 3.310 0.000 3.564
Te 3.310 3.310 0.000
Au 0.000 0.000 0.000
Au 0.000 3.310 3.564
Au 3.310 0.000 10.693
Au 3.310 3.310 7.129
```

- formation energy from raw total energies (kcal/mol of atoms) = 3.34
- calculated density (g/cm³) = 7.89
- density of states at the Fermi level (states/eV per atom) = 0.368
- magnetic moment (μB per formula unit) = 0.00

---

Density functional theory data (GGA-PBE) for an optimized crystal structure of TlBiTe3Au.

extended XYZ file:
```
12
Lattice="9.060 0.000 0.000 0.000 4.462 0.000 -1.785 0.000 10.189" Properties=species:S:1:pos:R:3 pbc="T T T"
Tl 1.211 1.116 2.358
Tl 6.064 3.347 7.832
Bi 1.382 3.347 8.885
Bi 5.894 1.116 1.304
Te -0.786 1.116 9.144
Te 1.342 3.347 5.640
Te 3.643 3.347 1.766
Te 3.633 1.116 8.423
Te 5.933 1.116 4.550
Te 8.062 3.347 1.045
Au -0.117 1.116 5.314
Au 7.393 3.347 4.875
```

- formation energy from raw total energies (kcal/mol of atoms) = -3.87
- calculated density (g/cm³) = 8.01
- density of states at the Fermi level (states/eV per atom) = 0.517
- magnetic moment (μB per formula unit) = 0.00

---

Density functional theory data (GGA-PBE) for an optimized crystal structure of Zr2BiTeAu.

extended XYZ file:
```
5
Lattice="5.321 0.000 0.000 0.000 5.321 0.000 0.000 0.000 5.396" Properties=species:S:1:pos:R:3 pbc="T T T"
Zr 0.000 2.661 0.000
Zr 2.661 0.000 0.000
Bi 0.000 0.000 2.698
Te 2.661 2.661 2.698
Au 0.000 0.000 0.000
```

- formation energy from raw total energies (kcal/mol of atoms) = 12.46
- calculated density (g/cm³) = 7.78
- density of states at the Fermi level (states/eV per atom) = 1.213
- magnetic moment (μB per formula unit) = 0.89

---

Density functional theory data (GGA-PBE) for an optimized crystal structure of Th2BiAu.

extended XYZ file:
```
12
Lattice="4.337 0.000 0.000 -2.168 3.756 0.000 0.000 0.000 23.210" Properties=species:S:1:pos:R:3 pbc="T T T"
Th 0.000 0.000 5.632
Th 0.000 0.000 17.578
Th 0.000 2.504 9.841
Th 0.000 2.504 21.105
Th 2.168 1.252 2.105
Th 2.168 1.252 13.369
Bi 0.000 0.000 0.000
Bi 0.000 2.504 15.473
Bi 2.168 1.252 7.737
Au 0.000 0.000 11.605
Au 0.000 2.504 3.868
Au 2.168 1.252 19.342
```

- calculated density (g/cm³) = 11.47
- ΔE_f (kJ/mol of formula units) = -202
- density of states at the Fermi level (states/eV per atom) = 1.043
- magnetic moment (μB per formula unit) = 0.00

---

Density functional theory data (GGA-PBE) for an optimized crystal structure of Th4BiAu2.

extended XYZ file:
```
7
Lattice="2.212 1.277 12.854 -2.212 1.277 12.854 0.000 -2.555 12.854" Properties=species:S:1:pos:R:3 pbc="T T T"
Th 0.000 0.000 4.335
Th 0.000 0.000 11.760
Th 0.000 0.000 26.801
Th 0.000 0.000 34.227
Bi 0.000 0.000 19.281
Au 0.000 0.000 15.468
Au 0.000 0.000 23.093
```

- calculated density (g/cm³) = 11.67
- ΔE_f (kJ/mol of formula units) = -201
- density of states at the Fermi level (states/eV per atom) = 1.366
- magnetic moment (μB per formula unit) = 0.00

---

Density functional theory data (GGA-PBE) for an optimized crystal structure of Th2BiAu.

extended XYZ file:
```
12
Lattice="4.138 0.000 0.000 -2.069 3.584 0.000 0.000 0.000 25.243" Properties=species:S:1:pos:R:3 pbc="T T T"
Th 0.000 0.000 0.000
Th 0.000 0.000 3.995
Th 0.000 2.389 16.829
Th 0.000 2.389 20.824
Th 2.069 1.195 8.414
Th 2.069 1.195 12.410
Bi 0.000 0.000 14.627
Bi 0.000 2.389 6.212
Bi 2.069 1.195 23.041
Au 0.000 0.000 10.370
Au 0.000 2.389 1.955
Au 2.069 1.195 18.784
```

- calculated density (g/cm³) = 11.58
- ΔE_f (kJ/mol of formula units) = -169
- density of states at the Fermi level (states/eV per atom) = 0.630
- magnetic moment (μB per formula unit) = 0.00

---

Density functional theory data (GGA-PBE) for an optimized crystal structure of Th6Bi3Au.

extended XYZ file:
```
20
Lattice="5.357 -9.208 0.000 5.357 9.208 0.000 0.000 0.000 6.362" Properties=species:S:1:pos:R:3 pbc="T T T"
Th 5.357 9.058 3.181
Th 3.548 4.579 2.868
Th 3.353 1.346 4.793
Th 5.357 4.379 5.861
Th 3.353 -1.346 1.612
Th 7.167 4.579 2.868
Th 3.548 -4.579 6.049
Th 7.362 1.346 4.793
Th 5.357 -4.379 2.680
Th 7.362 -1.346 1.612
Th 7.167 -4.579 6.049
Th 5.357 -9.058 0.000
Bi 2.082 1.943 1.668
Bi 2.082 -1.943 4.849
Bi 5.357 1.500 1.583
Bi 5.357 -1.500 4.764
Bi 8.633 1.943 1.668
Bi 8.633 -1.943 4.849
Au 5.357 6.633 1.439
Au 5.357 -6.633 4.620
```

- calculated density (g/cm³) = 11.73
- ΔE_f (kJ/mol of formula units) = -262
- density of states at the Fermi level (states/eV per atom) = 1.085
- magnetic moment (μB per formula unit) = 0.00

---

Density functional theory data (GGA-PBE) for an optimized crystal structure of Th2BiAu.

extended XYZ file:
```
4
Lattice="4.017 0.000 0.000 0.000 4.017 0.000 0.000 0.000 6.992" Properties=species:S:1:pos:R:3 pbc="T T T"
Th 0.000 0.000 1.691
Th 0.000 0.000 5.300
Bi 2.008 2.008 3.496
Au 2.008 2.008 0.000
```

- calculated density (g/cm³) = 12.81
- ΔE_f (kJ/mol of formula units) = -193
- density of states at the Fermi level (states/eV per atom) = 1.162
- magnetic moment (μB per formula unit) = 0.00

---

Density functional theory data (GGA-PBE) for an optimized crystal structure of Th2BiAu.

extended XYZ file:
```
8
Lattice="6.411 0.000 0.000 0.000 4.396 0.000 -3.153 0.000 8.352" Properties=species:S:1:pos:R:3 pbc="T T T"
Th -0.096 1.099 3.482
Th 1.495 3.297 0.478
Th 1.763 1.099 7.874
Th 3.354 3.297 4.870
Bi 0.255 3.297 5.909
Bi 3.003 1.099 2.444
Au -1.751 1.099 6.625
Au 5.009 3.297 1.727
```

- calculated density (g/cm³) = 12.27
- ΔE_f (kJ/mol of formula units) = -209
- density of states at the Fermi level (states/eV per atom) = 1.075
- magnetic moment (μB per formula unit) = 0.00

---

Density functional theory data (GGA-PBE) for an optimized crystal structure of Th4Bi8Au3.

extended XYZ file:
```
15
Lattice="4.736 0.000 0.000 0.000 4.736 0.000 0.000 0.000 19.262" Properties=species:S:1:pos:R:3 pbc="T T T"
Th 0.000 2.368 2.204
Th 0.000 2.368 11.876
Th 2.368 0.000 7.386
Th 2.368 0.000 17.057
Bi 0.000 0.000 4.758
Bi 0.000 0.000 14.504
Bi 0.000 2.368 7.666
Bi 0.000 2.368 17.564
Bi 2.368 0.000 1.698
Bi 2.368 0.000 11.596
Bi 2.368 2.368 4.776
Bi 2.368 2.368 14.486
Au 0.000 0.000 0.000
Au 0.000 0.000 9.631
Au 2.368 2.368 9.631
```

- calculated density (g/cm³) = 12.26
- ΔE_f (kJ/mol of formula units) = -718
- density of states at the Fermi level (states/eV per atom) = 0.432
- magnetic moment (μB per formula unit) = 0.00

---

Density functional theory data (GGA-PBE) for an optimized crystal structure of Th5BiAu2.

extended XYZ file:
```
16
Lattice="-3.958 3.958 7.470 3.958 -3.958 7.470 3.958 3.958 -7.470" Properties=species:S:1:pos:R:3 pbc="T T T"
Th 0.000 0.000 0.000
Th 2.772 -1.186 2.255
Th 5.144 -1.186 5.215
Th 5.144 1.186 2.255
Th 2.772 1.186 5.215
Th 0.000 0.000 7.470
Th 1.186 2.772 2.255
Th -1.186 2.772 5.215
Th -1.186 5.144 2.255
Th 1.186 5.144 5.215
Bi 0.000 0.000 3.735
Bi 0.000 0.000 11.205
Au 2.876 1.082 0.000
Au 2.876 -1.082 7.470
Au 1.082 5.040 0.000
Au 1.082 2.876 7.470
```

- calculated density (g/cm³) = 12.51
- ΔE_f (kJ/mol of formula units) = -311
- density of states at the Fermi level (states/eV per atom) = 1.618
- magnetic moment (μB per formula unit) = 0.00

---

Density functional theory data (GGA-PBE) for an optimized crystal structure of Th3BiAu.

extended XYZ file:
```
10
Lattice="3.960 -8.223 0.000 3.960 8.223 0.000 0.000 0.000 5.016" Properties=species:S:1:pos:R:3 pbc="T T T"
Th 1.980 4.112 2.508
Th 3.960 5.474 0.000
Th 2.529 0.000 2.508
Th 1.980 -4.112 2.508
Th 5.392 0.000 2.508
Th 3.960 -5.474 0.000
Bi 3.960 2.126 0.000
Bi 3.960 -2.126 0.000
Au 3.960 6.810 2.508
Au 3.960 -6.810 2.508
```

- calculated density (g/cm³) = 11.20
- ΔE_f (kJ/mol of formula units) = -58
- density of states at the Fermi level (states/eV per atom) = 1.171
- magnetic moment (μB per formula unit) = 0.00